A plane-wave DFT calculation with PBE was carried out for crystalline Li6Hg2Pb at its relaxed geometry.

a = 3.0037 Å, b = 7.9846 Å, c = 7.9847 Å
α = 120.00°, β = 90.00°, γ = 90.00°
Element x y z (fractional)
Li1 0.5000 0.3362 0.3362
Li2 0.5000 0.3362 0.0000
Li3 0.5000 0.0000 0.6638
Li4 0.5000 0.0000 0.3362
Li5 0.5000 0.6638 0.6638
Li6 0.5000 0.6638 0.0000
Hg1 0.0000 0.3333 0.6667
Hg2 0.0000 0.6667 0.3333
Pb1 0.0000 0.0000 0.0000

## Properties
Calculated formation energy = -0.282 eV/atom
Space group = P6/mmm, No. 191
E above lowest polymorph = 0 meV/atom

A plane-wave DFT calculation with PBE was carried out for crystalline NaSrInCl6 at its relaxed geometry.

a = 7.0789 Å, b = 7.0789 Å, c = 12.1874 Å
α = 90.00°, β = 90.00°, γ = 120.00°
Element x y z (fractional)
Cl1 0.0380 0.3693 0.6291
Cl2 0.6307 0.6687 0.6291
Cl3 0.6687 0.6307 0.1291
Cl4 0.3313 0.3693 0.8709
Cl5 0.3313 0.9620 0.6291
Cl6 0.3693 0.0380 0.1291
Cl7 0.9620 0.6307 0.3709
Cl8 0.0380 0.6687 0.8709
Cl9 0.3693 0.3313 0.3709
Cl10 0.6687 0.0380 0.3709
Cl11 0.9620 0.3313 0.1291
Cl12 0.6307 0.9620 0.8709
Sr1 0.6667 0.3333 0.7500
Sr2 0.3333 0.6667 0.2500
In1 0.6667 0.3333 0.2500
In2 0.3333 0.6667 0.7500
Na1 0.0000 0.0000 0.0000
Na2 0.0000 0.0000 0.5000

## Properties
E_form (uncorrected) = -1.704 eV per atom
Space group = P-31c, No. 163

A plane-wave DFT calculation with PBE was carried out for crystalline Y3Tm3Th2 at its relaxed geometry.

a = 6.3226 Å, b = 6.3226 Å, c = 6.3226 Å
α = 90.01°, β = 90.01°, γ = 89.99°
Element x y z (fractional)
Tm1 0.2489 0.7511 0.0000
Tm2 0.0000 0.2489 0.2489
Tm3 0.7511 0.0000 0.7511
Y1 0.5000 0.2488 0.2488
Y2 0.2488 0.7512 0.5000
Y3 0.7512 0.5000 0.7512
Th1 0.2470 0.2470 0.7530
Th2 0.7530 0.7530 0.2470

## Properties
Calculated formation energy = 0.203 eV/atom
Space group = R32, No. 155
E above lowest polymorph = 178 meV/atom

Number 1: total magnetization 0.000 Bohr magnetons per cell, theoretical density 6.51 g/cm3. Number 2: total magnetization 0.000 Bohr magnetons per cell, theoretical density 2.75 g/cm3. Number 3: total magnetization 0.000 Bohr magnetons per cell, theoretical density 8.13 g/cm3.